[1]
BaUB12 PBE-GGA relaxed; V = 145 Å³ per cell; raw total energy = -7.000 eV/atom; crystal system = tetragonal; D(E_F) = 7.84 states/eV/cell
1.0
-1.132 -3.993 -0.336
0.415 -0.464 4.117
-8.009 2.182 1.053
B U Ba
12 1 1
Cartesian
-6.295 -0.716 3.922
-2.182 -1.837 3.381
-6.759 -1.775 2.586
-1.136 -2.017 1.992
-6.080 0.620 2.788
-2.646 -2.895 2.046
-3.528 -1.365 2.307
-5.198 -0.910 2.526
-2.431 -1.558 0.912
-1.967 -0.500 2.247
-6.544 -0.438 1.452
-7.591 -0.258 2.841
0.000 0.000 0.000
-4.005 1.091 0.526

=====

[2]
BaVB3 PBE-GGA relaxed; V = 105 Å³ per cell; offset from the most stable computed form = 1164 kJ/mol of formula units; raw total energy = -3.156 eV/atom; crystal system = cubic; D(E_F) = 5.59 states/eV/cell
1.0
4.720 0.000 0.000
0.000 4.720 0.000
0.000 0.000 4.720
Ba V B
1 1 3
Cartesian
0.000 0.000 0.000
2.360 2.360 2.360
2.360 0.000 0.000
0.000 0.000 2.360
0.000 2.360 0.000

=====

[3]
BaVB3 PBE-GGA relaxed; V = 79 Å³ per cell; offset from the most stable computed form = 0 kJ/mol of formula units; raw total energy = -5.569 eV/atom; crystal system = cubic; D(E_F) = 0.95 states/eV/cell
1.0
4.296 0.000 0.000
0.000 4.296 0.000
0.000 0.000 4.296
V B Ba
1 3 1
Cartesian
0.000 0.000 0.000
0.000 2.148 0.000
2.148 0.000 0.000
0.000 0.000 2.148
2.148 2.148 2.148

=====

[4]
BaVB2W PBE-GGA relaxed; V = 103 Å³ per cell; offset from the most stable computed form = 0 kJ/mol of formula units; raw total energy = -4.063 eV/atom; crystal system = tetragonal; D(E_F) = 5.26 states/eV/cell
1.0
4.485 0.000 0.000
0.000 5.101 0.000
0.000 0.000 4.485
Ba V B W
1 1 2 1
Cartesian
0.000 0.000 0.000
0.000 2.550 0.000
0.000 0.000 2.242
2.242 0.000 0.000
2.242 2.550 2.242